A plane-wave DFT calculation with PBE was carried out for a relaxed structure of TlGaRu2O8.

Calculated values
* D(E_F): 2.2 states/eV/f.u.
* formation energy without anion corrections: -0.8856 eV per atom

a = 5.341 Å, b = 5.341 Å, c = 8.110 Å
α = 90.00°, β = 90.00°, γ = 120.00°
Sites, in units of the cell vectors:
O  0.317  0.274  0.352
O  0.683  0.726  0.648
O  0.667  0.333  0.070
O  0.726  0.043  0.352
O  0.274  0.957  0.648
Ru  0.667  0.333  0.286
Ru  0.333  0.667  0.714
Tl  0.000  0.000  0.000
O  0.333  0.667  0.930
O  0.957  0.683  0.352
O  0.043  0.317  0.648
Ga  0.000  0.000  0.500

A plane-wave DFT calculation with PBE was carried out for a relaxed structure of SmDy4Cd5.

Calculated values
* D(E_F): 12.1 states/eV/f.u.
* energy of formation from the pure elements: -0.32 eV/atom

a = 3.752 Å, b = 3.752 Å, c = 18.849 Å
α = 90.00°, β = 90.00°, γ = 90.00°
Sites, in units of the cell vectors:
Cd  0.500  0.500  0.105
Dy  0.000  0.000  0.203
Cd  0.500  0.500  0.698
Dy  0.000  0.000  0.599
Cd  0.500  0.500  0.895
Cd  0.500  0.500  0.500
Cd  0.500  0.500  0.302
Dy  0.000  0.000  0.797
Sm  0.000  0.000  0.000
Dy  0.000  0.000  0.401

A plane-wave DFT calculation with PBE was carried out for a relaxed structure of Ce4MgPb3.

Calculated values
* E above lowest polymorph: 0.000 eV/atom
* D(E_F): 16.3 states/eV/f.u.
* energy of formation from the pure elements: -0.37 eV/atom

a = 6.228 Å, b = 9.127 Å, c = 9.127 Å
α = 83.31°, β = 70.05°, γ = 70.05°
Sites, in units of the cell vectors:
Ce  0.901  0.864  0.333
Pb  0.149  0.500  0.202
Mg  0.250  0.500  0.500
Ce  0.235  0.667  0.864
Ce  0.265  0.136  0.333
Ce  0.401  0.333  0.864
Pb  0.250  0.000  0.000
Pb  0.750  0.000  0.000
Ce  0.599  0.667  0.136
Pb  0.649  0.202  0.500
Pb  0.851  0.500  0.798
Ce  0.765  0.333  0.136
Ce  0.735  0.864  0.667
Mg  0.750  0.500  0.500
Ce  0.099  0.136  0.667
Pb  0.351  0.798  0.500

A plane-wave DFT calculation with PBE was carried out for a relaxed structure of PtAu.

Calculated values
* D(E_F): 4.6 states/eV/f.u.
* energy of formation from the pure elements: 1.06 eV/atom

a = 7.295 Å, b = 7.295 Å, c = 7.295 Å
α = 90.00°, β = 90.00°, γ = 90.00°
Sites, in units of the cell vectors:
Au  0.750  0.000  0.500
Pt  0.000  0.750  0.500
Pt  0.000  0.250  0.500
Pt  0.750  0.500  0.000
Pt  0.250  0.500  0.000
Pt  0.500  0.000  0.250
Au  0.000  0.500  0.750
Au  0.000  0.500  0.250
Au  0.500  0.750  0.000
Au  0.250  0.000  0.500
Pt  0.500  0.000  0.750
Au  0.500  0.250  0.000

Which of these has the lowest D(E_F)? TlGaRu2O8

Which formula does entry 2 have? SmDy4Cd5

Look up the D(E_F) of the third one. 16.3 states/eV/f.u.